## Cu2WBr (PBE)

Data for crystalline Cu2WBr at its relaxed geometry.

The structure in extended XYZ format:
```
4
Lattice="2.872 0.000 0.000 0.000 4.572 -0.045 0.000 2.861 4.701" Properties=species:S:1:pos:R:3 pbc="T T T"
Br 0.000 1.431 2.351
Cu 0.000 0.000 0.000
Cu 1.436 2.286 -0.022
W 1.436 3.716 2.328
```

Results
- ΔE_f (raw): 0.922 eV/atom
- Space-group type: P2/m (10)